[1]
Below is a geometry-optimized SmAl2Cu4Si structure, with properties calculated at the PBE level.

a = 4.1329 Å, b = 4.1329 Å, c = 25.7990 Å
α = 90.00°, β = 90.00°, γ = 120.00°
Last column: nearest neighbours and their distance in Å.
Space group R-3m (No. 166, hexagonal axes)
Unique sites:
Sm: 0.0000 0.0000 0.0000 (multiplicity 3)  8 Cu 3.07-3.40, 6 Al 3.28
Al: 0.0000 0.0000 0.2463 (multiplicity 6)  6 Cu 2.41-2.65
Cu: 0.0000 0.0000 0.1318 (multiplicity 6)  3 Si 2.55, 3 Al 2.65, 3 Cu 2.81
Cu: 0.0000 0.0000 0.4080 (multiplicity 6)  1 Si 2.37, 3 Al 2.41
Si: 0.0000 0.0000 0.5000 (multiplicity 3)  8 Cu 2.37-2.55

Properties
ΔE_f (raw): -0.218 eV/atom
spin magnetization: 0.0 Bohr magnetons per cell
volume: 381.6 Å³/cell
final energy: -107.3 eV for the cell shown
ρ: 6.4 g/cm3


[2]
Below is a geometry-optimized Li3SbPb structure, with properties calculated at the PBE level.

a = 6.4381 Å, b = 4.6664 Å, c = 8.0159 Å
α = 90.00°, β = 113.61°, γ = 90.00°
Last column: nearest neighbours and their distance in Å.
Space group P2_1/m (No. 11)
Unique sites:
Li: 0.1291 0.2500 0.1561 (multiplicity 2)  3 Sb 2.92-3.00, 2 Li 2.94-3.18, 2 Pb 3.10
Li: 0.1392 0.7500 0.5858 (multiplicity 2)  3 Sb 2.83-2.87, 3 Li 2.86-2.93
Li: 0.3674 0.7500 0.9741 (multiplicity 2)  4 Li 2.82-2.94, 3 Sb 2.84-3.01, 1 Pb 2.89
Sb: 0.1321 0.2500 0.7927 (multiplicity 2)  9 Li 2.83-3.01
Pb: 0.4507 0.7500 0.3557 (multiplicity 2)  4 Li 2.89-3.22, 2 Pb 3.17

Properties
ΔE_f (raw): -0.433 eV/atom
spin magnetization: 0.0 Bohr magnetons per cell
volume: 220.7 Å³/cell
energy above the lowest structure with this stoichiometry: 0.000 eV per atom
final energy: -31.5 eV for the cell shown
ρ: 5.3 g/cm3


[3]
Below is a geometry-optimized Sm2GaAgS5 structure, with properties calculated at the PBE level.

a = 3.8464 Å, b = 17.6569 Å, c = 11.2594 Å
α = 90.00°, β = 90.00°, γ = 90.00°
Last column: nearest neighbours and their distance in Å.
Space group Cmc2_1 (No. 36)
Unique sites:
Sm: 0.0000 0.1180 0.0000 (multiplicity 4)  8 S 2.85-3.09
Sm: 0.0000 0.1257 0.6166 (multiplicity 4)  7 S 2.75-3.03
Ga: 0.0000 0.4334 0.7730 (multiplicity 4)  4 S 2.28-2.33
Ag: 0.0000 0.2274 0.3412 (multiplicity 4)  3 S 2.52-2.65
S: 0.0000 0.0401 0.3829 (multiplicity 4)  2 Ga 2.33
S: 0.0000 0.2905 0.0012 (multiplicity 4)  2 Ag 2.65, 2 Sm 2.75
S: 0.0000 0.3217 0.6713 (multiplicity 4)  1 Ga 2.28
S: 0.0000 0.3689 0.3144 (multiplicity 4)  1 Ag 2.52
S: 0.0000 0.4987 0.5954 (multiplicity 4)  1 Ga 2.31

Properties
ΔE_f (raw): -1.301 eV/atom
spin magnetization: 0.0 Bohr magnetons per cell
volume: 764.7 Å³/cell
final energy: -190.7 eV for the cell shown
ρ: 5.5 g/cm3


[4]
Below is a geometry-optimized KNaY2Ru structure, with properties calculated at the PBE level.

a = 5.6403 Å, b = 5.6403 Å, c = 4.6177 Å
α = 90.00°, β = 90.00°, γ = 90.00°
Last column: nearest neighbours and their distance in Å.
Space group P4/mmm (No. 123)
Unique sites:
K: 0.0000 0.0000 0.0000 (multiplicity 1)  2 Ru 2.31
Na: 0.5000 0.5000 0.5000 (multiplicity 1)  8 Y 3.64, 4 Ru 3.99
Y: 0.0000 0.5000 0.0000 (multiplicity 2)  2 K 2.82
Ru: 0.0000 0.0000 0.5000 (multiplicity 1)  2 K 2.31

Properties
spin magnetization: 0.0 Bohr magnetons per cell
volume: 146.9 Å³/cell
E_form: 1.531 eV per atom
final energy: -17.0 eV for the cell shown
ρ: 3.9 g/cm3


[5]
Below is a geometry-optimized CsCuGeS3 structure, with properties calculated at the PBE level.

a = 13.5287 Å, b = 7.4618 Å, c = 8.2869 Å
α = 90.00°, β = 111.34°, γ = 90.00°
Last column: nearest neighbours and their distance in Å.
Space group C2/m (No. 12)
Unique sites:
Cs: 0.1888 0.0000 0.2165 (multiplicity 4)  9 S 3.73-3.92
Cu: 0.0000 0.2578 0.5000 (multiplicity 4)  2 S 2.15
Ge: 0.0286 0.5000 0.2590 (multiplicity 4)  3 S 2.10-2.20
S: 0.0644 0.2515 0.7785 (multiplicity 8)  1 Cu 2.15, 1 Ge 2.20
S: 0.1914 0.5000 0.3011 (multiplicity 4)  1 Ge 2.10

Properties
ΔE_f (raw): -0.539 eV/atom
spin magnetization: 0.0 Bohr magnetons per cell
volume: 779.2 Å³/cell
final energy: -100.7 eV for the cell shown
ρ: 3.1 g/cm3


[6]
Below is a geometry-optimized H2IrPdCl structure, with properties calculated at the PBE level.

a = 3.3847 Å, b = 3.3847 Å, c = 6.3013 Å
α = 90.00°, β = 90.00°, γ = 90.00°
Last column: nearest neighbours and their distance in Å.
Space group P4/mmm (No. 123)
Unique sites:
H: 0.0000 0.5000 0.0000 (multiplicity 2)  2 Pd 1.69
Ir: 0.0000 0.0000 0.5000 (multiplicity 1)  4 Cl 2.39
Pd: 0.5000 0.5000 0.0000 (multiplicity 1)  4 H 1.69
Cl: 0.5000 0.5000 0.5000 (multiplicity 1)  4 Ir 2.39

Properties
spin magnetization: 0.7 Bohr magnetons per cell
volume: 72.2 Å³/cell
final energy: -18.7 eV for the cell shown
ρ: 7.7 g/cm3


[7]
Below is a geometry-optimized Rb4Pm3InS8 structure, with properties calculated at the PBE level.

a = 8.2820 Å, b = 8.2820 Å, c = 23.1596 Å
α = 90.00°, β = 90.00°, γ = 120.00°
Last column: nearest neighbours and their distance in Å.
Space group R-3m (No. 166, hexagonal axes)
Unique sites:
Rb: 0.0000 0.0000 0.0000 (multiplicity 3)  6 S 3.41
Rb: 0.0000 0.5000 0.0000 (multiplicity 9)  6 S 3.34-3.35
Pm: 0.0000 0.5000 0.5000 (multiplicity 9)  6 S 2.83-2.85
In: 0.0000 0.0000 0.5000 (multiplicity 3)  6 S 2.76
S: 0.0000 0.0000 0.2323 (multiplicity 6)  3 Pm 2.83
S: 0.0103 0.5052 0.2313 (multiplicity 18)  1 In 2.76, 2 Pm 2.85

Properties
ΔE_f (raw): -1.562 eV/atom
spin magnetization: 0.0 Bohr magnetons per cell
volume: 1375.8 Å³/cell
final energy: -236.6 eV for the cell shown
ρ: 4.2 g/cm3


[8]
Below is a geometry-optimized NaTeHC2 structure, with properties calculated at the PBE level.

a = 4.3073 Å, b = 4.3073 Å, c = 3.8182 Å
α = 90.00°, β = 90.00°, γ = 90.00°
Last column: nearest neighbours and their distance in Å.
Space group P4/mmm (No. 123)
Unique sites:
Na: 0.0000 0.0000 0.0000 (multiplicity 1)  8 C 2.88, 4 H 3.05
Te: 0.5000 0.5000 0.5000 (multiplicity 1)  2 H 1.91
H: 0.5000 0.5000 0.0000 (multiplicity 1)  2 Te 1.91
C: 0.0000 0.5000 0.5000 (multiplicity 2)  2 Te 2.15

Properties
spin magnetization: 0.4 Bohr magnetons per cell
volume: 70.8 Å³/cell
final energy: -17.3 eV for the cell shown
ρ: 4.1 g/cm3


[9]
Below is a geometry-optimized MnNbCo structure, with properties calculated at the PBE level.

a = 3.0921 Å, b = 3.0921 Å, c = 8.7688 Å
α = 90.00°, β = 90.00°, γ = 90.00°
Last column: nearest neighbours and their distance in Å.
Space group I4mm (No. 107)
Unique sites:
Mn: 0.0000 0.0000 0.0000 (multiplicity 2)  4 Co 2.58, 5 Nb 2.67-2.85
Nb: 0.0000 0.0000 0.6754 (multiplicity 2)  5 Co 2.63-2.91, 5 Mn 2.67-2.85
Co: 0.0000 0.0000 0.3430 (multiplicity 2)  4 Mn 2.58, 4 Nb 2.63

Properties
spin magnetization: 7.1 Bohr magnetons per cell
volume: 83.8 Å³/cell
E_form: -0.015 eV per atom
energy above the lowest structure with this stoichiometry: 0.148 eV per atom
final energy: -52.8 eV for the cell shown
ρ: 8.2 g/cm3


[10]
Below is a geometry-optimized Tb6CeHo3Tm2 structure, with properties calculated at the PBE level.

a = 6.1285 Å, b = 10.6102 Å, c = 11.7345 Å
α = 90.00°, β = 100.02°, γ = 90.00°
Last column: nearest neighbours and their distance in Å.
Space group C2/m (No. 12)
Unique sites:
Tb: 0.2484 0.0000 0.2504 (multiplicity 4)  6 Tb 3.52-3.55, 1 Ce 3.53, 2 Tm 3.54, 3 Ho 3.54-3.55
Tb: 0.2494 0.1659 0.7496 (multiplicity 8)  6 Tb 3.52-3.55, 1 Ce 3.53, 2 Tm 3.54, 3 Ho 3.54
Ce: 0.0000 0.0000 0.5000 (multiplicity 2)  6 Tb 3.53, 6 Tm 3.54
Ho: 0.0000 0.1674 0.0000 (multiplicity 4)  6 Ho 3.53-3.55, 6 Tb 3.54
Ho: 0.0000 0.5000 0.0000 (multiplicity 2)  6 Ho 3.53-3.54, 6 Tb 3.54-3.55
Tm: 0.0000 0.3334 0.5000 (multiplicity 4)  6 Tb 3.54, 3 Tm 3.54, 3 Ce 3.54

Properties
spin magnetization: 2.4 Bohr magnetons per cell
volume: 751.4 Å³/cell
E_form: 0.036 eV per atom
final energy: -111.9 eV for the cell shown
ρ: 8.5 g/cm3


[11]
Below is a geometry-optimized AcBiSb2 structure, with properties calculated at the PBE level.

a = 4.6960 Å, b = 4.6960 Å, c = 11.6375 Å
α = 90.00°, β = 90.00°, γ = 90.00°
Last column: nearest neighbours and their distance in Å.
Space group P4/nmm (No. 129, origin choice 2)
Unique sites:
Ac: 0.2500 0.2500 0.2283 (multiplicity 2)  8 Sb 3.35-3.55
Bi: 0.2500 0.7500 0.5000 (multiplicity 2)  4 Bi 3.32, 4 Sb 3.59
Sb: 0.2500 0.2500 0.7337 (multiplicity 2)  4 Ac 3.35, 4 Bi 3.59
Sb: 0.2500 0.7500 0.0000 (multiplicity 2)  4 Sb 3.32, 4 Ac 3.55

Properties
ΔE_f (raw): -0.544 eV/atom
spin magnetization: 0.0 Bohr magnetons per cell
volume: 256.6 Å³/cell
energy above the lowest structure with this stoichiometry: 0.023 eV per atom
final energy: -36.8 eV for the cell shown
ρ: 8.8 g/cm3


[12]
Below is a geometry-optimized AsPC2 structure, with properties calculated at the PBE level.

a = 15.6457 Å, b = 2.9752 Å, c = 3.0124 Å
α = 90.00°, β = 100.61°, γ = 90.00°
Last column: nearest neighbours and their distance in Å.
Space group Cm (No. 8)
Unique sites:
As: 0.0000 0.0000 0.0000 (multiplicity 2)  2 C 1.92
P: 0.2377 0.0000 0.2272 (multiplicity 2)  2 C 1.83
C: 0.0788 0.5000 0.0753 (multiplicity 2)  1 C 1.38
C: 0.1683 0.5000 0.1608 (multiplicity 2)  1 C 1.38

Properties
spin magnetization: 0.0 Bohr magnetons per cell
volume: 137.8 Å³/cell
E_form: 0.639 eV per atom
energy above the lowest structure with this stoichiometry: 0.096 eV per atom
final energy: -51.9 eV for the cell shown
ρ: 3.1 g/cm3


> Look up the spin magnetization of the ninth one.

7.1 Bohr magnetons per cell


> Number 12 is which compound?

AsPC2


> The highest volume belongs to which entry?

Rb4Pm3InS8


> What is the spin magnetization in the fourth record?

0.0 Bohr magnetons per cell